[1]
## K3CeSb2O8 (PBE)

Data for K3CeSb2O8 after structural relaxation.

```
data_K3CeSb2O8
_symmetry_space_group_name_H-M 'P -3 m 1'
_symmetry_Int_Tables_number 164
_symmetry_space_group_name_Hall '-P 3 2"'
_cell_length_a 6.2446
_cell_length_b 6.2446
_cell_length_c 7.8625
_cell_angle_alpha 90.00
_cell_angle_beta 90.00
_cell_angle_gamma 120.00
loop_
_atom_site_label
_atom_site_type_symbol
_atom_site_fract_x
_atom_site_fract_y
_atom_site_fract_z
K1 K 0.0000 0.0000 0.0000
K2 K 0.3333 0.6667 0.6633
Ce1 Ce 0.0000 0.0000 0.5000
Sb1 Sb 0.3333 0.6667 0.2183
O1 O 0.1712 0.3425 0.3232
O2 O 0.3333 0.6667 0.9802
```

Computed properties:
As for the magnetization: 0.07 μB per atom. The calculation puts the density of states at the Fermi level at 6.87 states/eV/f.u. The calculation puts the uncorrected formation energy at -1860 meV/atom.

---

[2]
## AcTb3Pr4 (PBE)

Data for AcTb3Pr4 after structural relaxation.

```
data_AcTb3Pr4
_symmetry_space_group_name_H-M 'I m m m'
_symmetry_Int_Tables_number 71
_symmetry_space_group_name_Hall '-I 2 2'
_cell_length_a 3.792
_cell_length_b 6.027
_cell_length_c 25.139
_cell_angle_alpha 90.00
_cell_angle_beta 90.00
_cell_angle_gamma 90.00
loop_
_atom_site_label
_atom_site_type_symbol
_atom_site_fract_x
_atom_site_fract_y
_atom_site_fract_z
Ac1 Ac 0.000 0.000 0.000
Tb1 Tb 0.000 0.000 0.265
Tb2 Tb 0.000 0.000 0.500
Pr1 Pr 0.000 0.500 0.114
Pr2 Pr 0.000 0.500 0.359
```

Computed properties:
As for the magnetization: 0.00 μB per atom. The calculation puts the density of states at the Fermi level at 13.89 states/eV/f.u. The calculation puts the energy relative to the elements at 67 kJ/mol of formula units. The value obtained for the relative energy among the computed polymorphs is 0.0 meV per atom.

---

[3]
## TmPaH (PBE)

Data for TmPaH after structural relaxation.

```
data_TmPaH
_symmetry_space_group_name_H-M 'P 1 21/c 1'
_symmetry_Int_Tables_number 14
_symmetry_space_group_name_Hall '-P 2ybc'
_cell_length_a 6.665
_cell_length_b 5.581
_cell_length_c 6.576
_cell_angle_alpha 90.00
_cell_angle_beta 103.53
_cell_angle_gamma 90.00
loop_
_atom_site_label
_atom_site_type_symbol
_atom_site_fract_x
_atom_site_fract_y
_atom_site_fract_z
Tm1 Tm 0.134 0.215 0.274
Pa1 Pa 0.356 0.735 0.086
H1 H 0.373 0.016 0.850
```

Computed properties:
As for the magnetization: 0.00 μB per atom. The calculation puts the density of states at the Fermi level at 4.60 states/eV/f.u. The value obtained for the relative energy among the computed polymorphs is 73.9 meV per atom.

---

[4]
## In4Hg2Rh (PBE)

Data for In4Hg2Rh after structural relaxation.

```
data_In4Hg2Rh
_symmetry_space_group_name_H-M 'I 4/m m m'
_symmetry_Int_Tables_number 139
_symmetry_space_group_name_Hall '-I 4 2'
_cell_length_a 5.185
_cell_length_b 5.185
_cell_length_c 15.302
_cell_angle_alpha 90.00
_cell_angle_beta 90.00
_cell_angle_gamma 90.00
loop_
_atom_site_label
_atom_site_type_symbol
_atom_site_fract_x
_atom_site_fract_y
_atom_site_fract_z
In1 In 0.000 0.000 0.171
In2 In 0.000 0.500 0.000
Hg1 Hg 0.000 0.000 0.362
Rh1 Rh 0.000 0.000 0.000
```

Computed properties:
As for the magnetization: 0.00 μB per atom. The calculation puts the density of states at the Fermi level at 4.19 states/eV/f.u. The calculation puts the energy relative to the elements at -8 kJ/mol of formula units.

---

[5]
## BiPd2Pb2 (PBE)

Data for BiPd2Pb2 after structural relaxation.

```
data_BiPd2Pb2
_symmetry_space_group_name_H-M 'P 1 21/m 1'
_symmetry_Int_Tables_number 11
_symmetry_space_group_name_Hall '-P 2yb'
_cell_length_a 5.690
_cell_length_b 4.433
_cell_length_c 9.835
_cell_angle_alpha 90.00
_cell_angle_beta 96.25
_cell_angle_gamma 90.00
loop_
_atom_site_label
_atom_site_type_symbol
_atom_site_fract_x
_atom_site_fract_y
_atom_site_fract_z
Bi1 Bi 0.032 0.250 0.276
Pd1 Pd 0.156 0.750 0.466
Pd2 Pd 0.256 0.750 0.158
Pb1 Pb 0.269 0.250 0.965
Pb2 Pb 0.386 0.250 0.620
```

Computed properties:
As for the magnetization: 0.00 μB per atom. The calculation puts the density of states at the Fermi level at 2.20 states/eV/f.u. The calculation puts the energy relative to the elements at -96 kJ/mol of formula units. The value obtained for the relative energy among the computed polymorphs is 11.5 meV per atom.

---

[6]
## Nd2Al4GePt3 (PBE)

Data for Nd2Al4GePt3 after structural relaxation.

```
data_Nd2Al4GePt3
_symmetry_space_group_name_H-M 'P -4 m 2'
_symmetry_Int_Tables_number 115
_symmetry_space_group_name_Hall 'P -4 -2'
_cell_length_a 4.345
_cell_length_b 4.345
_cell_length_c 10.320
_cell_angle_alpha 90.00
_cell_angle_beta 90.00
_cell_angle_gamma 90.00
loop_
_atom_site_label
_atom_site_type_symbol
_atom_site_fract_x
_atom_site_fract_y
_atom_site_fract_z
Nd1 Nd 0.000 0.500 0.249
Al1 Al 0.000 0.000 0.500
Al2 Al 0.000 0.500 0.864
Al3 Al 0.500 0.500 0.500
Ge1 Ge 0.500 0.500 0.000
Pt1 Pt 0.000 0.000 0.000
Pt2 Pt 0.000 0.500 0.627
```

Computed properties:
As for the magnetization: 0.00 μB per atom. The calculation puts the density of states at the Fermi level at 7.12 states/eV/f.u. The calculation puts the energy relative to the elements at -948 kJ/mol of formula units.

---

[7]
## ReCl (PBE)

Data for ReCl after structural relaxation.

```
data_ReCl
_symmetry_space_group_name_H-M 'P m m n'
_symmetry_Int_Tables_number 59
_cell_length_a 2.961
_cell_length_b 3.121
_cell_length_c 8.693
_cell_angle_alpha 90.00
_cell_angle_beta 90.00
_cell_angle_gamma 90.00
loop_
_symmetry_equiv_pos_as_xyz
'x,y,z'
'-x,-y,-z'
'-x+1/2,-y+1/2,z'
'x+1/2,y+1/2,-z'
'x+1/2,-y,-z'
'-x+1/2,y,z'
'-x,y+1/2,-z'
'x,-y+1/2,z'
loop_
_atom_site_label
_atom_site_type_symbol
_atom_site_fract_x
_atom_site_fract_y
_atom_site_fract_z
Re1 Re 0.250 0.250 0.086
Cl1 Cl 0.250 0.750 0.693
```

Computed properties:
As for the magnetization: 0.00 μB per atom. The calculation puts the density of states at the Fermi level at 1.86 states/eV/f.u. The calculation puts the uncorrected formation energy at -111 meV/atom. The value obtained for the relative energy among the computed polymorphs is 0.0 meV per atom.

---

| no. | total energy (eV per atom) |
| --- | --- |
| 1 | -5.9407 |
| 2 | -4.5531 |
| 3 | -5.8050 |
| 4 | -2.7134 |
| 5 | -4.5353 |
| 6 | -5.7072 |
| 7 | -7.2585 |